Below is a relaxed structure of BePd2Au, with properties calculated at the GGA-PBE level.

a b c (Å): 3.7302 3.7302 9.4907
angles (deg): 78.67 78.67 90.00
Positions (direct):
Be  0.5000  0.5000  0.0000
Be  0.2500  0.7500  0.5000
Au  0.0000  0.0000  0.0000
Au  0.7500  0.2500  0.5000
Pd  0.6131  0.1250  0.2500
Pd  0.1369  0.6250  0.2500
Pd  0.3750  0.3869  0.7500
Pd  0.8750  0.8631  0.7500

calculated formation energy: 144 meV/atom
distance to the lowest polymorph of the same formula: 538 meV per atom
space-group type: No. 122
Fermi-level density of states: 5.7 states/eV/cell
crystal system: tetragonal